(1)
Ac3CdIn3Pb2 | GGA-PBE | relaxed

Summary:
**Spin magnetization**: 0.0 μB per formula unit
**Energy of formation from the pure elements**: -0.44 eV per atom
**Mass density**: 8.96 g/cm3

Lattice parameters (Å, degrees): 8.3453 8.3453 4.7693 90.00 90.00 120.00
Space group P-62m (No. 189)
Asymmetric unit:
1 Ac 0.0000 0.6025 0.0000 (multiplicity 3)
2 Cd 0.0000 0.0000 0.0000 (multiplicity 1)
3 In 0.0000 0.2390 0.5000 (multiplicity 3)
4 Pb 0.3333 0.6667 0.5000 (multiplicity 2)



(2)
AcCd2InPb | GGA-PBE | relaxed

Summary:
**Spin magnetization**: 0.0 μB per formula unit
**Energy of formation from the pure elements**: -0.25 eV per atom
**Mass density**: 8.85 g/cm3

Lattice parameters (Å, degrees): 5.199 16.146 6.917 90.00 90.00 90.00
Space group Cmcm (No. 63)
Asymmetric unit:
1 Ac 0.000 0.100 0.250 (multiplicity 4)
2 Cd 0.000 0.300 0.003 (multiplicity 8)
3 In 0.000 0.500 0.000 (multiplicity 4)
4 Pb 0.000 0.122 0.750 (multiplicity 4)



(3)
Ac2Cd4In3Pb | GGA-PBE | relaxed

Summary:
**Spin magnetization**: 0.0 μB per formula unit
**Energy of formation from the pure elements**: -0.30 eV per atom
**Mass density**: 8.47 g/cm3

Lattice parameters (Å, degrees): 4.835 4.835 12.202 90.00 90.00 90.00
Space group P-4m2 (No. 115)
Asymmetric unit:
1 Ac 0.000 0.500 0.242 (multiplicity 2)
2 Cd 0.000 0.000 0.000 (multiplicity 1)
3 Cd 0.000 0.500 0.643 (multiplicity 2)
4 Cd 0.500 0.500 0.000 (multiplicity 1)
5 In 0.000 0.500 0.867 (multiplicity 2)
6 In 0.500 0.500 0.500 (multiplicity 1)
7 Pb 0.000 0.000 0.500 (multiplicity 1)



The E results, record by record, are as follows: -3.651 -2.729 -2.680 eV/atom.